The following is a PBE-GGA calculation of an optimized crystal structure of Li8Tl6Pd, from Alexandria.

Calculated values
Electronic total energy = -37.6 eV per formula unit
ΔE_f = -2.92 eV/f.u.

Cell lengths 7.497, 7.497, 7.497 Å; angles 61.90, 61.90, 61.90 degrees
Atoms (fractional coordinates):
Li 0.089 0.089 0.089
Li 0.167 0.635 0.330
Li 0.330 0.167 0.635
Li 0.365 0.670 0.833
Li 0.635 0.330 0.167
Li 0.670 0.833 0.365
Li 0.833 0.365 0.670
Li 0.911 0.911 0.911
Tl 0.041 0.526 0.768
Tl 0.232 0.959 0.474
Tl 0.474 0.232 0.959
Tl 0.526 0.768 0.041
Tl 0.768 0.041 0.526
Tl 0.959 0.474 0.232
Pd 0.500 0.500 0.500

=====

The following is a PBE-GGA calculation of an optimized crystal structure of Li4Tl2Pd, from Alexandria.

Calculated values
Electronic total energy = -18.5 eV per formula unit
ΔE_f = -0.88 eV/f.u.

Cell lengths 5.816, 5.816, 9.126 Å; angles 90.00, 90.00, 56.09 degrees
Atoms (fractional coordinates):
Li 0.002 0.498 0.750
Li 0.245 0.755 0.750
Li 0.255 0.745 0.250
Li 0.498 0.002 0.250
Li 0.502 0.998 0.750
Li 0.745 0.255 0.750
Li 0.755 0.245 0.250
Li 0.998 0.502 0.250
Tl 0.153 0.153 0.000
Tl 0.347 0.347 0.500
Tl 0.653 0.653 0.500
Tl 0.847 0.847 0.000
Pd 0.000 0.000 0.500
Pd 0.500 0.500 0.000

=====

The following is a PBE-GGA calculation of an optimized crystal structure of Li8TlPd2, from Alexandria.

Calculated values
Electronic total energy = -30.2 eV per formula unit
ΔE_f = -2.11 eV/f.u.

Cell lengths 7.000, 7.000, 4.729 Å; angles 100.08, 100.08, 115.50 degrees
Atoms (fractional coordinates):
Li 0.071 0.322 0.603
Li 0.241 0.759 0.000
Li 0.322 0.071 0.603
Li 0.395 0.395 0.200
Li 0.605 0.605 0.800
Li 0.678 0.929 0.397
Li 0.759 0.241 0.000
Li 0.929 0.678 0.397
Tl 0.000 0.000 0.000
Pd 0.316 0.684 0.500
Pd 0.684 0.316 0.500

=====

The following is a PBE-GGA calculation of an optimized crystal structure of Li2TlPd7, from Alexandria.

Calculated values
Electronic total energy = -40.3 eV per formula unit
ΔE_f = 2.25 eV/f.u.

Cell lengths 6.731, 6.731, 4.323 Å; angles 90.00, 90.00, 114.33 degrees
Atoms (fractional coordinates):
Li 0.200 0.800 0.000
Li 0.800 0.200 0.000
Tl 0.500 0.500 0.500
Pd 0.000 0.000 0.000
Pd 0.186 0.434 0.000
Pd 0.251 0.749 0.500
Pd 0.434 0.186 0.000
Pd 0.566 0.814 0.000
Pd 0.749 0.251 0.500
Pd 0.814 0.566 0.000

=====

The following is a PBE-GGA calculation of an optimized crystal structure of LiYTl2Pd4, from Alexandria.

Calculated values
Electronic total energy = -37.8 eV per formula unit
ΔE_f = -3.94 eV/f.u.

Cell lengths 8.178, 8.178, 8.178 Å; angles 33.52, 33.52, 33.52 degrees
Atoms (fractional coordinates):
Li 0.000 0.000 0.000
Y 0.500 0.500 0.500
Tl 0.253 0.253 0.253
Tl 0.747 0.747 0.747
Pd 0.116 0.116 0.116
Pd 0.375 0.375 0.375
Pd 0.625 0.625 0.625
Pd 0.884 0.884 0.884

=====

The following is a PBE-GGA calculation of an optimized crystal structure of LiZrTlPd, from Alexandria.

Calculated values
Electronic total energy = -19.6 eV per formula unit
ΔE_f = -1.61 eV/f.u.

Cell lengths 4.661, 4.661, 4.661 Å; angles 60.00, 60.00, 60.00 degrees
Atoms (fractional coordinates):
Li 0.000 0.000 0.000
Zr 0.250 0.250 0.250
Tl 0.750 0.750 0.750
Pd 0.500 0.500 0.500

=====

The following is a PBE-GGA calculation of an optimized crystal structure of Li2TmPd5, from Alexandria.

Calculated values
Electronic total energy = -39.6 eV per formula unit
ΔE_f = -5.29 eV/f.u.

Cell lengths 7.564, 7.564, 7.564 Å; angles 147.83, 147.83, 46.13 degrees
Atoms (fractional coordinates):
Li 0.249 0.249 0.000
Li 0.751 0.751 0.000
Tm 0.000 0.000 0.000
Pd 0.140 0.640 0.500
Pd 0.360 0.860 0.500
Pd 0.500 0.500 0.000
Pd 0.640 0.140 0.500
Pd 0.860 0.360 0.500

=====

The following is a PBE-GGA calculation of an optimized crystal structure of Li2Tm2Pd5, from Alexandria.

Calculated values
Electronic total energy = -44.9 eV per formula unit
ΔE_f = -6.17 eV/f.u.

Cell lengths 8.932, 8.932, 8.932 Å; angles 140.81, 59.22, 137.45 degrees
Atoms (fractional coordinates):
Li 0.074 0.003 0.071
Li 0.432 0.003 0.429
Li 0.568 0.997 0.571
Li 0.926 0.997 0.929
Tm 0.000 0.500 0.500
Tm 0.245 0.495 0.750
Tm 0.500 0.500 0.000
Tm 0.755 0.505 0.250
Pd 0.124 0.000 0.624
Pd 0.124 0.500 0.124
Pd 0.246 0.996 0.250
Pd 0.380 0.000 0.880
Pd 0.380 0.500 0.380
Pd 0.620 0.000 0.120
Pd 0.620 0.500 0.620
Pd 0.754 0.004 0.750
Pd 0.876 0.000 0.376
Pd 0.876 0.500 0.876

=====

The following is a PBE-GGA calculation of an optimized crystal structure of LiTmPd3, from Alexandria.

Calculated values
Electronic total energy = -24.4 eV per formula unit
ΔE_f = -2.43 eV/f.u.

Cell lengths 6.503, 6.503, 6.503 Å; angles 129.10, 109.92, 91.64 degrees
Atoms (fractional coordinates):
Li 0.276 0.026 0.250
Li 0.724 0.974 0.750
Tm 0.000 0.500 0.500
Tm 0.500 0.500 0.000
Pd 0.019 0.269 0.750
Pd 0.322 0.000 0.822
Pd 0.322 0.500 0.322
Pd 0.678 0.000 0.178
Pd 0.678 0.500 0.678
Pd 0.981 0.731 0.250

=====

The following is a PBE-GGA calculation of an optimized crystal structure of Li4TmPd2, from Alexandria.

Calculated values
Electronic total energy = -25.3 eV per formula unit
ΔE_f = -2.80 eV/f.u.

Cell lengths 9.025, 9.025, 3.793 Å; angles 90.00, 90.00, 156.00 degrees
Atoms (fractional coordinates):
Li 0.176 0.824 0.000
Li 0.318 0.682 0.500
Li 0.682 0.318 0.500
Li 0.824 0.176 0.000
Tm 0.500 0.500 0.000
Pd 0.077 0.923 0.500
Pd 0.923 0.077 0.500

=====

The following is a PBE-GGA calculation of an optimized crystal structure of Li2Tm2Pd3, from Alexandria.

Calculated values
Electronic total energy = -33.0 eV per formula unit
ΔE_f = -4.61 eV/f.u.

Cell lengths 4.778, 4.778, 7.523 Å; angles 108.39, 108.39, 59.89 degrees
Atoms (fractional coordinates):
Li 0.132 0.132 0.398
Li 0.868 0.868 0.602
Tm 0.388 0.388 0.166
Tm 0.612 0.612 0.834
Pd 0.000 0.000 0.000
Pd 0.256 0.256 0.766
Pd 0.744 0.744 0.234

=====

The following is a PBE-GGA calculation of an optimized crystal structure of Li8TmPd6, from Alexandria.

Calculated values
Electronic total energy = -56.2 eV per formula unit
ΔE_f = -5.30 eV/f.u.

Cell lengths 6.641, 6.641, 6.641 Å; angles 72.89, 72.89, 72.89 degrees
Atoms (fractional coordinates):
Li 0.079 0.562 0.273
Li 0.111 0.111 0.111
Li 0.273 0.079 0.562
Li 0.438 0.727 0.921
Li 0.562 0.273 0.079
Li 0.727 0.921 0.438
Li 0.889 0.889 0.889
Li 0.921 0.438 0.727
Tm 0.500 0.500 0.500
Pd 0.105 0.785 0.524
Pd 0.215 0.476 0.895
Pd 0.476 0.895 0.215
Pd 0.524 0.105 0.785
Pd 0.785 0.524 0.105
Pd 0.895 0.215 0.476

=====

The following is a PBE-GGA calculation of an optimized crystal structure of LiTm5Pd6, from Alexandria.

Calculated values
Electronic total energy = -65.9 eV per formula unit
ΔE_f = -10.51 eV/f.u.

Cell lengths 8.352, 8.352, 4.844 Å; angles 106.83, 106.83, 119.76 degrees
Atoms (fractional coordinates):
Li 0.000 0.000 0.000
Tm 0.155 0.845 0.500
Tm 0.330 0.670 0.000
Tm 0.500 0.500 0.500
Tm 0.670 0.330 0.000
Tm 0.845 0.155 0.500
Pd 0.087 0.427 0.258
Pd 0.266 0.266 0.768
Pd 0.427 0.087 0.258
Pd 0.573 0.913 0.742
Pd 0.734 0.734 0.232
Pd 0.913 0.573 0.742

=====

The following is a PBE-GGA calculation of an optimized crystal structure of LiTmPd2, from Alexandria.

Calculated values
Electronic total energy = -19.8 eV per formula unit
ΔE_f = -2.98 eV/f.u.

Cell lengths 4.240, 4.240, 3.834 Å; angles 90.00, 90.00, 90.00 degrees
Atoms (fractional coordinates):
Li 0.000 0.000 0.000
Tm 0.500 0.500 0.000
Pd 0.000 0.500 0.500
Pd 0.500 0.000 0.500

=====

The following is a PBE-GGA calculation of an optimized crystal structure of Li4TmPd5, from Alexandria.

Calculated values
Electronic total energy = -43.3 eV per formula unit
ΔE_f = -5.23 eV/f.u.

Cell lengths 3.164, 3.164, 15.134 Å; angles 90.00, 90.00, 90.00 degrees
Atoms (fractional coordinates):
Li 0.000 0.000 0.093
Li 0.000 0.000 0.278
Li 0.000 0.000 0.722
Li 0.000 0.000 0.907
Tm 0.000 0.000 0.500
Pd 0.500 0.500 0.000
Pd 0.500 0.500 0.188
Pd 0.500 0.500 0.380
Pd 0.500 0.500 0.620
Pd 0.500 0.500 0.812

=====

The following is a PBE-GGA calculation of an optimized crystal structure of LiTm3Pd4, from Alexandria.

Calculated values
Electronic total energy = -42.8 eV per formula unit
ΔE_f = -6.72 eV/f.u.

Cell lengths 8.227, 8.227, 8.227 Å; angles 34.06, 34.06, 34.06 degrees
Atoms (fractional coordinates):
Li 0.000 0.000 0.000
Tm 0.257 0.257 0.257
Tm 0.500 0.500 0.500
Tm 0.743 0.743 0.743
Pd 0.126 0.126 0.126
Pd 0.378 0.378 0.378
Pd 0.622 0.622 0.622
Pd 0.874 0.874 0.874

=====

The following is a PBE-GGA calculation of an optimized crystal structure of Li3TmPd4, from Alexandria.

Calculated values
Electronic total energy = -36.0 eV per formula unit
ΔE_f = -4.97 eV/f.u.

Cell lengths 4.248, 4.248, 6.811 Å; angles 90.00, 90.00, 90.00 degrees
Atoms (fractional coordinates):
Li 0.000 0.000 0.000
Li 0.000 0.000 0.500
Li 0.500 0.500 0.000
Tm 0.500 0.500 0.500
Pd 0.000 0.500 0.229
Pd 0.000 0.500 0.771
Pd 0.500 0.000 0.229
Pd 0.500 0.000 0.771

=====

The following is a PBE-GGA calculation of an optimized crystal structure of Li3TmPd7, from Alexandria.

Calculated values
Electronic total energy = -51.4 eV per formula unit
ΔE_f = -4.89 eV/f.u.

Cell lengths 5.927, 5.927, 5.166 Å; angles 94.02, 94.02, 85.58 degrees
Atoms (fractional coordinates):
Li 0.000 0.000 0.000
Li 0.187 0.813 0.500
Li 0.813 0.187 0.500
Tm 0.500 0.500 0.000
Pd 0.076 0.415 0.236
Pd 0.222 0.222 0.714
Pd 0.415 0.076 0.236
Pd 0.500 0.500 0.500
Pd 0.585 0.924 0.764
Pd 0.778 0.778 0.286
Pd 0.924 0.585 0.764

=====

The following is a PBE-GGA calculation of an optimized crystal structure of LiTm6Pd12, from Alexandria.

Calculated values
Electronic total energy = -105.6 eV per formula unit
ΔE_f = -14.52 eV/f.u.

Cell lengths 7.156, 7.156, 7.156 Å; angles 96.88, 96.88, 96.88 degrees
Atoms (fractional coordinates):
Li 0.000 0.000 0.000
Tm 0.154 0.316 0.746
Tm 0.254 0.846 0.684
Tm 0.316 0.746 0.154
Tm 0.684 0.254 0.846
Tm 0.746 0.154 0.316
Tm 0.846 0.684 0.254
Pd 0.041 0.349 0.104
Pd 0.104 0.041 0.349
Pd 0.211 0.507 0.446
Pd 0.349 0.104 0.041
Pd 0.446 0.211 0.507
Pd 0.493 0.554 0.789
Pd 0.507 0.446 0.211
Pd 0.554 0.789 0.493
Pd 0.651 0.896 0.959
Pd 0.789 0.493 0.554
Pd 0.896 0.959 0.651
Pd 0.959 0.651 0.896

=====

The following is a PBE-GGA calculation of an optimized crystal structure of LiTm2Pd9, from Alexandria.

Calculated values
Electronic total energy = -65.8 eV per formula unit
ΔE_f = -8.18 eV/f.u.

Cell lengths 4.091, 4.091, 11.761 Å; angles 90.00, 90.00, 90.00 degrees
Atoms (fractional coordinates):
Li 0.000 0.000 0.000
Tm 0.000 0.000 0.326
Tm 0.000 0.000 0.674
Pd 0.000 0.500 0.155
Pd 0.000 0.500 0.500
Pd 0.000 0.500 0.845
Pd 0.500 0.000 0.155
Pd 0.500 0.000 0.500
Pd 0.500 0.000 0.845
Pd 0.500 0.500 0.000
Pd 0.500 0.500 0.326
Pd 0.500 0.500 0.674